Density functional theory data (GGA-PBE) for a geometry-optimized Ho2Ni3As4Pd structure.

Output
uncorrected energy	-5.8122	eV/atom
symmetry	P-4m2

Unit cell a=4.209 b=4.209 c=9.490 alpha=90.00 beta=90.00 gamma=90.00
Sites, in units of the cell vectors:
Ho: 0.000 0.500 0.246
Ho: 0.500 0.000 0.754
Ni: 0.000 0.500 0.884
Ni: 0.500 0.000 0.116
Ni: 0.500 0.500 0.500
As: 0.000 0.000 0.000
As: 0.000 0.500 0.641
As: 0.500 0.000 0.359
As: 0.500 0.500 0.000
Pd: 0.000 0.000 0.500